A relaxed structure of LiMgCr3Se2S4O24, computed with GGA+U.

Computed properties:
Total DFT energy (no corrections) (eV per atom): -6.26
V (Å³/atom): 13.4
Size of the total moment (μB/atom): 0.25

a = 8.411 Å, b = 8.420 Å, c = 8.983 Å
α = 62.55°, β = 62.71°, γ = 60.75°
Space group P1 (No. 1)
Inequivalent atoms, fractional coordinates:
Li 0.000 0.000 0.000 x1
Mg 0.268 0.605 0.080 x1
Cr 0.065 0.408 0.707 x1
Cr 0.572 0.911 0.186 x1
Cr 0.767 0.108 0.577 x1
Se 0.164 0.220 0.388 x1
Se 0.458 0.507 0.393 x1
S 0.375 0.017 0.892 x1
S 0.675 0.293 0.885 x1
S 0.875 0.800 0.386 x1
S 0.939 0.721 0.896 x1
O 0.023 0.526 0.881 x1
O 0.033 0.100 0.423 x1
O 0.045 0.808 0.228 x1
O 0.073 0.757 0.931 x1
O 0.110 0.429 0.237 x1
O 0.126 0.232 0.584 x1
O 0.175 0.152 0.883 x1
O 0.304 0.463 0.596 x1
O 0.381 0.823 0.942 x1
O 0.396 0.085 0.333 x1
O 0.405 0.047 0.027 x1
O 0.420 0.468 0.252 x1
O 0.426 0.737 0.344 x1
O 0.478 0.417 0.939 x1
O 0.513 0.067 0.718 x1
O 0.680 0.364 0.405 x1
O 0.719 0.098 0.026 x1
O 0.719 0.264 0.719 x1
O 0.734 0.774 0.351 x1
O 0.757 0.731 0.045 x1
O 0.783 0.986 0.422 x1
O 0.810 0.373 0.865 x1
O 0.901 0.861 0.730 x1
O 0.927 0.641 0.540 x1